The following is a PBE calculation of a geometry-optimized Tm2LuI structure, from the Alexandria database.

Summary:
VASP energy = -16.224 eV per formula unit
V = 121.2 Å³/cell
magnetization = 0.00 μB/f.u.

Unit cell a=10.4915 b=10.4915 c=10.4915 alpha=20.27 beta=20.27 gamma=20.27
Element x y z (fractional)
Tm: 0.2467 0.2467 0.2467
Tm: 0.7533 0.7533 0.7533
Lu: 0.0000 0.0000 0.0000
I: 0.5000 0.5000 0.5000